No. 1
Here is a crystal of Be2CdOsPb relaxed with PBEsol from Alexandria via LeMat-Bulk. Energies are from meta-GGA SCAN.

Unit cell a=4.4040 b=4.4040 c=5.2140 alpha=90.00 beta=90.00 gamma=90.00
With the nearest neighbours (Å) after each atom.
Sites, in units of the cell vectors:
Be  0.0000  0.5000  0.0000  2 Pb 2.20
Be  0.5000  0.0000  0.0000  2 Pb 2.20
Cd  0.0000  0.0000  0.5000  4 Os 3.11, 8 Be 3.41
Os  0.5000  0.5000  0.5000  2 Pb 2.61
Pb  0.5000  0.5000  0.0000  4 Be 2.20

ΔE_f in eV per atom: 1.660
SG: P4/mmm, No. 123
DFT total energy in eV/atom: -35.696
Total magnetic moment in μB/cell: 1.2
Crystal system: tetragonal
ρ in Mg/m³: 8.67

No. 2
Here is a crystal of BeCd2P relaxed with PBEsol from Alexandria via LeMat-Bulk. Energies are from meta-GGA SCAN.

Unit cell a=6.6901 b=6.6901 c=6.6901 alpha=31.25 beta=31.25 gamma=31.25
With the nearest neighbours (Å) after each atom.
Sites, in units of the cell vectors:
Be  0.0000  0.0000  0.0000  3 P 2.09
Cd  0.5467  0.5467  0.5467  3 Cd 2.93, 3 P 2.94, 3 Be 3.09
Cd  0.7720  0.7720  0.7720  3 Be 2.89, 3 Cd 2.93, 3 P 3.05
P  0.3219  0.3219  0.3219  3 Be 2.09

ΔE_f in eV per atom: -0.024
SG: R3m, No. 160
DFT total energy in eV/atom: -18.920
Total magnetic moment in μB/cell: 0.0
Crystal system: trigonal
ρ in Mg/m³: 6.15

ΔE_f of number 1 (Be2CdOsPb)? 1.660 eV per atom

Look up the total magnetic moment of the second one. 0.0 μB/cell